(1)
First-principles (PBE-GGA) data for a geometry-optimized HoSi7Rh3 structure, as listed in Alexandria via LeMat-Bulk.

a = 7.622 Å, b = 7.622 Å, c = 7.982 Å
α = 61.48°, β = 61.48°, γ = 60.00°
Fractional positions:
Ho 0.500 0.500 0.500
Ho 0.000 0.000 0.000
Si 0.672 0.066 0.411
Si 0.066 0.851 0.411
Si 0.851 0.672 0.411
Si 0.828 0.649 0.089
Si 0.434 0.828 0.089
Si 0.649 0.434 0.089
Si 0.328 0.934 0.589
Si 0.934 0.149 0.589
Si 0.149 0.328 0.589
Si 0.172 0.351 0.911
Si 0.566 0.172 0.911
Si 0.351 0.566 0.911
Si 0.750 0.750 0.750
Si 0.250 0.250 0.250
Rh 0.430 0.070 0.750
Rh 0.070 0.750 0.750
Rh 0.750 0.430 0.750
Rh 0.570 0.930 0.250
Rh 0.930 0.250 0.250
Rh 0.250 0.570 0.250

## Properties
For the uncorrected formation energy, the calculation gives -66 kJ per mole of atoms. Its space group is R-3c. The total magnetization is 0.0 μB/f.u.

---

(2)
First-principles (PBE-GGA) data for a geometry-optimized YTaPb structure, as listed in Alexandria via LeMat-Bulk.

a = 7.543 Å, b = 7.543 Å, c = 7.543 Å
α = 155.54°, β = 155.54°, γ = 34.87°
Fractional positions:
Pb 0.990 0.990 0.000
Ta 0.333 0.333 0.000
Y 0.677 0.677 0.000

## Properties
The value obtained for the energy relative to the lowest polymorph listed for this composition is 0.000 eV/atom. Its space group is I4mm. The total magnetization is 0.0 μB/f.u. The calculation puts the formation energy at 0.216 eV/atom.

---

> Which formula does entry 2 have?

YTaPb

---

Please write out number 2 again, unchanged.
First-principles (PBE-GGA) data for a geometry-optimized YTaPb structure, as listed in Alexandria via LeMat-Bulk.

a = 7.543 Å, b = 7.543 Å, c = 7.543 Å
α = 155.54°, β = 155.54°, γ = 34.87°
Fractional positions:
Pb 0.990 0.990 0.000
Ta 0.333 0.333 0.000
Y 0.677 0.677 0.000

## Properties
The value obtained for the energy relative to the lowest polymorph listed for this composition is 0.000 eV/atom. Its space group is I4mm. The total magnetization is 0.0 μB/f.u. The calculation puts the formation energy at 0.216 eV/atom.